Entry 1:
A crystal of SrTiMn2Ag relaxed with PBEsol, computed with SCAN.

The space group is P4/mmm (No. 123) and the conventional cell measures 4.970, 4.970 and 4.951 Å, with angles of 90.00, 90.00 and 90.00 degrees. Symmetry generates all atoms from Sr at (0.000, 0.000, 0.000), Ti at (0.500, 0.500, 0.000), Mn at (0.000, 0.500, 0.500) and Ag at (0.500, 0.500, 0.500).

For the calculated formation energy, the calculation gives 2.32 eV per formula unit. For the density of states at the Fermi level, the calculation gives 4.333 states/eV/f.u. As for the total energy: -20.772 eV per atom.

Entry 2:
A crystal of TaMnAg relaxed with PBEsol, computed with SCAN.

The space group is I4mm (No. 107) and the conventional cell measures 3.152, 3.152 and 9.206 Å, with angles of 90.00, 90.00 and 90.00 degrees. Symmetry generates all atoms from Ta at (0.000, 0.000, 0.000), Mn at (0.000, 0.000, 0.373) and Ag at (0.000, 0.000, 0.693).

The excess energy over the best structure of this formula in the dataset is 0 meV per atom. For the calculated formation energy, the calculation gives 0.79 eV per formula unit. For the density of states at the Fermi level, the calculation gives 2.291 states/eV/f.u. As for the total energy: -38.473 eV per atom.